# Zn2CuIrO6

A geometry-optimized Zn2CuIrO6 structure (PBEsol, Alexandria via LeMat-Bulk).

Geometry as POSCAR:
```
Zn2CuIrO6
1.0
4.8787 0.0000 0.0365
0.0000 4.9420 0.0000
-0.0082 0.0000 8.7006
Zn Cu Ir O
4 2 2 12
direct
0.0192 0.0343 0.2373
0.4808 0.5343 0.2627
0.5192 0.4657 0.7373
0.9808 0.9657 0.7627
0.0000 0.5000 0.0000
0.5000 0.0000 0.5000
0.0000 0.5000 0.5000
0.5000 0.0000 0.0000
0.1575 0.6281 0.6878
0.1746 0.8075 0.0549
0.2062 0.7945 0.3895
0.2938 0.2945 0.1105
0.3254 0.3075 0.4451
0.3425 0.1281 0.8122
0.6575 0.8719 0.1878
0.6746 0.6925 0.5549
0.7062 0.7055 0.8895
0.8254 0.1925 0.9451
0.7938 0.2055 0.6105
0.8425 0.3719 0.3122
```

Properties
SG: No. 14
Calculated density: 7.640 g/cm3
Magnetic moment: 0.5 μB per formula unit
ΔE_f (raw): -8.87 eV/f.u.

# CuIrOs2

A geometry-optimized CuIrOs2 structure (PBEsol, Alexandria via LeMat-Bulk).

Geometry as POSCAR:
```
CuIrOs2
1.0
2.6868 0.0000 0.0000
0.0000 4.5283 0.0000
0.0000 0.0000 4.5283
Cu Ir Os
1 1 2
direct
0.5000 0.5000 0.5000
0.5000 0.0000 0.0000
0.0000 0.0000 0.5000
0.0000 0.5000 0.0000
```

Properties
SG: No. 123
Calculated density: 19.175 g/cm3
Energy relative to the elements: 0.6045 eV/atom
Magnetic moment: 0.0 μB per formula unit
Offset from the most stable computed form: 150.2 meV/atom

# CuIrOs2

A geometry-optimized CuIrOs2 structure (PBEsol, Alexandria via LeMat-Bulk).

Geometry as POSCAR:
```
CuIrOs2
1.0
-0.3415 2.2607 -1.6178
2.0187 -2.0381 -3.2743
-4.7213 -1.7022 1.0425
Cu Ir Os
1 1 2
direct
0.5000 0.0000 0.0000
0.0000 0.5000 0.0000
0.7701 0.7701 0.5402
0.2299 0.2299 0.4598
```

Properties
SG: No. 71
Calculated density: 19.584 g/cm3
Energy relative to the elements: 0.4543 eV/atom
Magnetic moment: 0.0 μB per formula unit
Offset from the most stable computed form: 0.0 meV/atom

# CuIrOs2

A geometry-optimized CuIrOs2 structure (PBEsol, Alexandria via LeMat-Bulk).

Geometry as POSCAR:
```
CuIrOs2
1.0
-1.2961 4.0093 0.6552
-1.6070 2.2758 -3.2284
-4.1591 0.9371 -0.0853
Cu Ir Os
1 1 2
direct
0.5000 0.5000 0.5000
0.2500 0.2500 0.2500
0.0000 0.0000 0.0000
0.7500 0.7500 0.7500
```

Properties
SG: No. 216
Calculated density: 19.268 g/cm3
Energy relative to the elements: 0.5684 eV/atom
Magnetic moment: 0.0 μB per formula unit
Offset from the most stable computed form: 114.1 meV/atom

# Cu2IrOs

A geometry-optimized Cu2IrOs structure (PBEsol, Alexandria via LeMat-Bulk).

Geometry as POSCAR:
```
Cu2IrOs
1.0
2.6183 -0.0108 0.0000
-0.1203 4.5958 0.0000
-1.2490 -2.2925 4.3820
Cu Ir Os
2 1 1
direct
0.0000 0.0000 0.5000
0.5000 0.5000 0.5000
0.5000 0.0000 0.0000
0.0000 0.5000 0.0000
```

Properties
SG: No. 12
Calculated density: 16.048 g/cm3
Energy relative to the elements: 0.3571 eV/atom
Magnetic moment: 0.0 μB per formula unit
Offset from the most stable computed form: 0.0 meV/atom

# Cu2IrOs

A geometry-optimized Cu2IrOs structure (PBEsol, Alexandria via LeMat-Bulk).

Geometry as POSCAR:
```
Cu2IrOs
1.0
2.6165 0.0000 0.0000
0.0000 3.7454 0.0000
0.0000 0.0000 5.2554
Cu Ir Os
2 1 1
direct
0.0000 0.0000 0.7490
0.0000 0.0000 0.2510
0.5000 0.5000 0.0000
0.5000 0.5000 0.5000
```

Properties
SG: No. 47
Calculated density: 16.429 g/cm3
Energy relative to the elements: 0.4276 eV/atom
Magnetic moment: 0.0 μB per formula unit
Offset from the most stable computed form: 70.5 meV/atom

# CuPIr2

A geometry-optimized CuPIr2 structure (PBEsol, Alexandria via LeMat-Bulk).

Geometry as POSCAR:
```
CuPIr2
1.0
-2.7006 -0.8610 0.1265
0.6752 -2.3332 -1.4666
1.2373 -3.0779 5.4663
Cu Ir P
1 2 1
direct
0.5000 0.5000 0.5000
0.0000 0.0000 0.7734
0.0000 0.0000 0.2266
0.5000 0.5000 0.0000
```

Properties
SG: No. 123
Calculated density: 15.450 g/cm3
Energy relative to the elements: -0.0429 eV/atom
Magnetic moment: 0.0 μB per formula unit

# CuPIr2

A geometry-optimized CuPIr2 structure (PBEsol, Alexandria via LeMat-Bulk).

Geometry as POSCAR:
```
CuPIr2
1.0
2.6743 0.0000 0.0000
-1.3372 2.3648 0.0000
0.0000 0.0000 8.5890
Cu Ir P
1 2 1
direct
0.5000 0.0000 0.7394
0.0000 0.0000 0.9929
0.5000 0.0000 0.2675
0.0000 0.0000 0.5003
```

Properties
SG: No. 35
Calculated density: 14.642 g/cm3
Energy relative to the elements: 0.2751 eV/atom
Magnetic moment: 0.0 μB per formula unit

# Cu2PIr

A geometry-optimized Cu2PIr structure (PBEsol, Alexandria via LeMat-Bulk).

Geometry as POSCAR:
```
Cu2PIr
1.0
-1.2533 1.1750 2.1103
-2.4274 -0.9148 0.8222
2.3218 -4.9267 5.8767
Cu Ir P
2 1 1
direct
0.2557 0.2557 0.2328
0.7443 0.7443 0.7672
0.5000 0.5000 0.5000
0.0000 0.0000 0.0000
```

Properties
SG: No. 166
Calculated density: 11.544 g/cm3
Energy relative to the elements: 0.1333 eV/atom
Magnetic moment: 0.0 μB per formula unit

# Cu2PIr

A geometry-optimized Cu2PIr structure (PBEsol, Alexandria via LeMat-Bulk).

Geometry as POSCAR:
```
Cu2PIr
1.0
4.1149 0.0000 0.0000
2.0574 3.5636 0.0000
2.0574 1.1879 3.3598
Cu Ir P
2 1 1
direct
0.0000 0.0000 0.0000
0.7500 0.7500 0.7500
0.5000 0.5000 0.5000
0.2500 0.2500 0.2500
```

Properties
SG: No. 216
Calculated density: 11.806 g/cm3
Energy relative to the elements: 0.0865 eV/atom
Magnetic moment: 0.0 μB per formula unit

# Cu2PIr

A geometry-optimized Cu2PIr structure (PBEsol, Alexandria via LeMat-Bulk).

Geometry as POSCAR:
```
Cu2PIr
1.0
3.2369 0.0000 0.0000
0.0000 3.2369 0.0000
0.0000 0.0000 4.8012
Cu Ir P
2 1 1
direct
0.0000 0.0000 0.7420
0.0000 0.0000 0.2580
0.5000 0.5000 0.0000
0.5000 0.5000 0.5000
```

Properties
SG: No. 123
Calculated density: 11.563 g/cm3
Energy relative to the elements: 0.1198 eV/atom
Magnetic moment: 0.0 μB per formula unit

# CuP2IrS

A geometry-optimized CuP2IrS structure (PBEsol, Alexandria via LeMat-Bulk).

Geometry as POSCAR:
```
CuP2IrS
1.0
-4.2874 0.2852 -0.9640
0.8834 -0.9466 -4.2090
-0.5582 -4.9924 1.0057
P S Ir Cu
2 1 1 1
direct
0.0000 0.5000 0.0000
0.5000 0.0000 0.0000
0.0000 0.0000 0.5000
0.0000 0.0000 0.0000
0.5000 0.5000 0.5000
```

Properties
SG: No. 123
Calculated density: 5.846 g/cm3
Magnetic moment: 0.0 μB per formula unit
ΔE_f (raw): 4.44 eV/f.u.

Look up the calculated density of the twelfth one.
5.846 g/cm3

What did the fifth record say?
# Cu2IrOs

A geometry-optimized Cu2IrOs structure (PBEsol, Alexandria via LeMat-Bulk).

Geometry as POSCAR:
```
Cu2IrOs
1.0
2.6183 -0.0108 0.0000
-0.1203 4.5958 0.0000
-1.2490 -2.2925 4.3820
Cu Ir Os
2 1 1
direct
0.0000 0.0000 0.5000
0.5000 0.5000 0.5000
0.5000 0.0000 0.0000
0.0000 0.5000 0.0000
```

Properties
SG: No. 12
Calculated density: 16.048 g/cm3
Energy relative to the elements: 0.3571 eV/atom
Magnetic moment: 0.0 μB per formula unit
Offset from the most stable computed form: 0.0 meV/atom

Look up the magnetic moment of the second one.
0.0 μB per formula unit

Which formula does entry 3 have?
CuIrOs2